VASP calculation (GGA-PBE) on an optimized crystal structure of Sc2ReIr.

Summary:
ΔH_f (0 K): 0.17 eV/atom
space-group type: R-3m
electronic total energy: -8.328 eV per atom
density of states at the Fermi level: 3.0 states/eV/f.u.
crystal system: trigonal
mass density: 10930 kg/m3
magnetization: 0.000 μB/atom

```
data_Sc2ReIr
_cell_length_a 9.7246
_cell_length_b 9.7246
_cell_length_c 9.7246
_cell_angle_alpha 17.32
_cell_angle_beta 17.32
_cell_angle_gamma 17.32
_symmetry_space_group_name_H-M 'P 1'
_symmetry_Int_Tables_number 1
loop_
_symmetry_equiv_pos_as_xyz
'x,y,z'
loop_
_atom_site_label
_atom_site_type_symbol
_atom_site_fract_x
_atom_site_fract_y
_atom_site_fract_z
Ir1 Ir 0.5000 0.5000 0.5000
Sc1 Sc 0.9088 0.9088 0.9088
Sc2 Sc 0.0912 0.0912 0.0912
Re1 Re 0.0000 0.0000 0.0000
```